# 1
Here is a relaxed structure of YCr2Ir from Alexandria via LeMat-Bulk. Energies are from GGA-PBE.

Unit cell a=2.847 b=4.374 c=5.652 alpha=90.00 beta=104.16 gamma=90.00
Fractional positions:
Y: 0.000 0.000 0.000
Cr: 0.192 0.500 0.667
Cr: 0.808 0.500 0.333
Ir: 0.500 0.000 0.500

Calculated values
Offset from the most stable computed form   3.96 kcal/mol of atoms
Fermi-level density of states   0.96 states/eV per atom

# 2
Here is a relaxed structure of BePOs from Alexandria via LeMat-Bulk. Energies are from GGA-PBE.

Unit cell a=3.738 b=3.738 c=3.738 alpha=60.00 beta=60.00 gamma=60.00
Fractional positions:
Be: 0.000 0.000 0.000
P: 0.250 0.250 0.250
Os: 0.750 0.750 0.750

Calculated values
Offset from the most stable computed form   10.60 kcal/mol of atoms
Fermi-level density of states   0.51 states/eV per atom

# 3
Here is a relaxed structure of LiPm2YTe5 from Alexandria via LeMat-Bulk. Energies are from GGA-PBE.

Unit cell a=9.603 b=9.603 c=13.227 alpha=90.00 beta=90.00 gamma=153.57
Fractional positions:
Li: 0.058 0.942 0.500
Li: 0.942 0.058 0.000
Pm: 0.374 0.626 0.338
Pm: 0.394 0.606 0.722
Pm: 0.606 0.394 0.222
Pm: 0.626 0.374 0.838
Y: 0.302 0.698 0.046
Y: 0.698 0.302 0.546
Te: 0.002 0.998 0.819
Te: 0.138 0.862 0.035
Te: 0.189 0.811 0.381
Te: 0.217 0.783 0.705
Te: 0.453 0.547 0.109
Te: 0.547 0.453 0.609
Te: 0.783 0.217 0.205
Te: 0.811 0.189 0.881
Te: 0.862 0.138 0.535
Te: 0.998 0.002 0.319

Calculated values
Formation energy (no corrections)   -30.30 kcal/mol of atoms

# 4
Here is a relaxed structure of TbCeYEr from Alexandria via LeMat-Bulk. Energies are from GGA-PBE.

Unit cell a=5.658 b=5.658 c=5.658 alpha=60.00 beta=60.00 gamma=60.00
Fractional positions:
Tb: 0.000 0.000 0.000
Ce: 0.750 0.750 0.750
Y: 0.250 0.250 0.250
Er: 0.500 0.500 0.500

Calculated values
Total DFT energy (no corrections)   -5.22 eV/atom
Fermi-level density of states   2.80 states/eV per atom

# 5
Here is a relaxed structure of Pm2NdV from Alexandria via LeMat-Bulk. Energies are from GGA-PBE.

Unit cell a=11.920 b=11.920 c=11.920 alpha=16.63 beta=16.63 gamma=16.63
Fractional positions:
Pm: 0.080 0.080 0.080
Pm: 0.920 0.920 0.920
Nd: 0.500 0.500 0.500
V: 0.000 0.000 0.000

Calculated values
Total DFT energy (no corrections)   -5.21 eV/atom
Fermi-level density of states   1.36 states/eV per atom

Number 1: total moment 0.00 μB per formula unit. Number 2: total moment 0.00 μB per formula unit. Number 3: total moment 0.00 μB per formula unit. Number 4: total moment 1.55 μB per formula unit. Number 5: total moment 3.23 μB per formula unit.